SrIrWF2 | GGA+U | relaxed

Output
As for the total magnetization: 2.647 Bohr magnetons per cell. The calculation puts the total energy at -4.917 eV/atom.

abc: 4.322 4.322 8.440
angles: 90.00 90.00 90.00
Positions (direct):
Sr1 0.000 0.000 0.000
Ir1 0.500 0.500 0.500
W1 0.000 0.000 0.500
F1 0.000 0.500 0.000
F2 0.500 0.000 0.000